No. 1
First-principles (PBE) data for a geometry-optimized MgIn2Hg7 structure, as listed in Alexandria.

The value obtained for the formation energy is -0.016 eV/atom. The total energy comes out at -37.4 eV/cell. The value obtained for the density is 10.49 g/cm3.

The space group is C2/c (No. 15) and the conventional cell measures 15.959, 8.028 and 10.281 Å, with angles of 90.00, 127.13 and 90.00 degrees. The inequivalent atoms are Mg at (0.000, 0.008, 0.250), In at (0.193, 0.486, 0.593), Hg at (0.000, 0.383, 0.750), Hg at (0.076, 0.177, 0.579), Hg at (0.127, 0.292, 0.275) and Hg at (0.196, 0.121, 0.050).


No. 2
First-principles (PBE) data for a geometry-optimized MgIn2Hg structure, as listed in Alexandria.

The value obtained for the formation energy is -0.055 eV/atom. The total energy comes out at -7.6 eV/cell. The value obtained for the density is 7.70 g/cm3.

The space group is Pmm2 (No. 25) and the conventional cell measures 3.580, 4.079 and 6.710 Å, with angles of 90.00, 90.00 and 90.00 degrees. The inequivalent atoms are Mg at (0.000, 0.000, 0.000), In at (0.000, 0.000, 0.484), In at (0.500, 0.500, 0.742) and Hg at (0.500, 0.500, 0.214).


No. 3
First-principles (PBE) data for a geometry-optimized MgIn3Hg3 structure, as listed in Alexandria.

The value obtained for the formation energy is 0.359 eV/atom. The value obtained for the energy relative to the lowest polymorph listed for this composition is 367 meV/atom. The total energy comes out at -16.4 eV/cell. The value obtained for the density is 6.11 g/cm3.

The space group is Pm-3n (No. 223) and the conventional cell measures 8.082, 8.082 and 8.082 Å, with angles of 90.00, 90.00 and 90.00 degrees. The inequivalent atoms are Mg at (0.000, 0.000, 0.000), In at (0.000, 0.250, 0.500) and Hg at (0.000, 0.500, 0.250).


No. 4
First-principles (PBE) data for a geometry-optimized Mg6InHg6 structure, as listed in Alexandria.

The value obtained for the formation energy is -0.060 eV/atom. The total energy comes out at -14.9 eV/cell. The value obtained for the density is 7.77 g/cm3.

The space group is P6/mmm (No. 191) and the conventional cell measures 6.2026, 6.2026 and 9.3997 Å, with angles of 90.00, 90.00 and 120.00 degrees. The inequivalent atoms are Mg at (0.0000, 0.0000, 0.1669), Mg at (0.3333, 0.6667, 0.0000), Mg at (0.3333, 0.6667, 0.5000), In at (0.0000, 0.0000, 0.5000) and Hg at (0.0000, 0.5000, 0.2486).


No. 5
First-principles (PBE) data for a geometry-optimized Mg2InHg structure, as listed in Alexandria.

The value obtained for the formation energy is -0.123 eV/atom. The total energy comes out at -13.4 eV/cell. The value obtained for the density is 6.56 g/cm3.

The space group is Cm (No. 8) and the conventional cell measures 10.555, 3.530 and 5.004 Å, with angles of 90.00, 98.50 and 90.00 degrees. The inequivalent atoms are Mg at (0.000, 0.000, 0.000), Mg at (0.242, 0.000, 0.686), In at (0.499, 0.000, 0.499) and Hg at (0.243, 0.500, 0.173).


No. 6
First-principles (PBE) data for a geometry-optimized MgInHgMo2 structure, as listed in Alexandria.

The value obtained for the formation energy is 1.749 eV/atom. The total energy comes out at -17.6 eV/cell. The value obtained for the density is 6.25 g/cm3.

The space group is P4/mmm (No. 123) and the conventional cell measures 5.208, 5.208 and 5.209 Å, with angles of 90.00, 90.00 and 90.00 degrees. The inequivalent atoms are Mg at (0.000, 0.000, 0.000), In at (0.500, 0.500, 0.500), Hg at (0.500, 0.500, 0.000) and Mo at (0.000, 0.500, 0.500).


No. 7
First-principles (PBE) data for a geometry-optimized NaMg2In2Hg2 structure, as listed in Alexandria.

The value obtained for the formation energy is -0.094 eV/atom. The total energy comes out at -33.7 eV/cell. The value obtained for the density is 6.56 g/cm3.

The space group is R-3m (No. 166, hexagonal axes) and the conventional cell measures 4.9697, 4.9697 and 24.9496 Å, with angles of 90.00, 90.00 and 120.00 degrees. The inequivalent atoms are Na at (0.0000, 0.0000, 0.0000), Mg at (0.0000, 0.0000, 0.1318), In at (0.0000, 0.0000, 0.2524) and Hg at (0.0000, 0.0000, 0.3996).


No. 8
First-principles (PBE) data for a geometry-optimized NaMg2InHg2 structure, as listed in Alexandria.

The value obtained for the formation energy is -0.180 eV/atom. The total energy comes out at -8.9 eV/cell. The value obtained for the density is 7.04 g/cm3.

The space group is P-3m1 (No. 164) and the conventional cell measures 5.0624, 5.0624 and 6.2480 Å, with angles of 90.00, 90.00 and 120.00 degrees. The inequivalent atoms are Na at (0.0000, 0.0000, 0.0000), Mg at (0.3333, 0.6667, 0.6910), In at (0.0000, 0.0000, 0.5000) and Hg at (0.3333, 0.6667, 0.2018).


No. 9
First-principles (PBE) data for a geometry-optimized NaMg2InHg5 structure, as listed in Alexandria.

The value obtained for the formation energy is -0.113 eV/atom. The total energy comes out at -39.1 eV/cell. The value obtained for the density is 8.89 g/cm3.

The space group is Cmc2_1 (No. 36) and the conventional cell measures 3.405, 17.164 and 15.209 Å, with angles of 90.00, 90.00 and 90.00 degrees. The inequivalent atoms are Na at (0.000, 0.035, 0.000), Mg at (0.000, 0.344, 0.961), Mg at (0.000, 0.425, 0.278), In at (0.000, 0.289, 0.558), Hg at (0.000, 0.068, 0.340), Hg at (0.000, 0.116, 0.622), Hg at (0.000, 0.182, 0.883), Hg at (0.000, 0.230, 0.239) and Hg at (0.000, 0.434, 0.666).


No. 10
First-principles (PBE) data for a geometry-optimized NaMgIn2Hg4 structure, as listed in Alexandria.

The value obtained for the formation energy is -0.045 eV/atom. The total energy comes out at -39.8 eV/cell. The value obtained for the density is 8.12 g/cm3.

The space group is F222 (No. 22) and the conventional cell measures 8.561, 8.569 and 12.038 Å, with angles of 90.00, 90.00 and 90.00 degrees. The inequivalent atoms are Na at (0.000, 0.000, 0.000), Mg at (0.250, 0.250, 0.750), In at (0.000, 0.000, 0.500), In at (0.250, 0.250, 0.250), Hg at (0.000, 0.000, 0.251) and Hg at (0.250, 0.250, 0.510).


No. 11
First-principles (PBE) data for a geometry-optimized NdMg2In2Hg2 structure, as listed in Alexandria.

The value obtained for the formation energy is -0.235 eV/atom. The total energy comes out at -47.0 eV/cell. The value obtained for the density is 7.96 g/cm3.

The space group is R-3m (No. 166, hexagonal axes) and the conventional cell measures 4.8417, 4.8417 and 25.3930 Å, with angles of 90.00, 90.00 and 120.00 degrees. The inequivalent atoms are Nd at (0.0000, 0.0000, 0.0000), Mg at (0.0000, 0.0000, 0.1381), In at (0.0000, 0.0000, 0.2654) and Hg at (0.0000, 0.0000, 0.4328).


No. 12
First-principles (PBE) data for a geometry-optimized Mg2InNiHg structure, as listed in Alexandria.

The value obtained for the formation energy is -0.027 eV/atom. The total energy comes out at -12.1 eV/cell. The value obtained for the density is 5.96 g/cm3.

The space group is P4/mmm (No. 123) and the conventional cell measures 4.910, 4.910 and 4.882 Å, with angles of 90.00, 90.00 and 90.00 degrees. The inequivalent atoms are Mg at (0.000, 0.500, 0.000), In at (0.000, 0.000, 0.500), Ni at (0.000, 0.000, 0.000) and Hg at (0.500, 0.500, 0.500).


No. 13
First-principles (PBE) data for a geometry-optimized Mg2InHg4Pb structure, as listed in Alexandria.

The value obtained for the formation energy is -0.039 eV/atom. The total energy comes out at -33.5 eV/cell. The value obtained for the density is 9.88 g/cm3.

The space group is R-3m (No. 166, hexagonal axes) and the conventional cell measures 5.2525, 5.2525 and 24.7528 Å, with angles of 90.00, 90.00 and 120.00 degrees. The inequivalent atoms are Mg at (0.0000, 0.0000, 0.2483), In at (0.0000, 0.0000, 0.0000), Hg at (0.0000, 0.0000, 0.1221), Hg at (0.0000, 0.0000, 0.3696) and Pb at (0.0000, 0.0000, 0.5000).


No. 14
First-principles (PBE) data for a geometry-optimized MgInHgPb structure, as listed in Alexandria.

The value obtained for the formation energy is 0.012 eV/atom. The value obtained for the energy relative to the lowest polymorph listed for this composition is 57 meV/atom. The total energy comes out at -33.2 eV/cell. The value obtained for the density is 8.63 g/cm3.

The space group is F-43m (No. 216) and the conventional cell measures 7.493, 7.493 and 7.493 Å, with angles of 90.00, 90.00 and 90.00 degrees. The inequivalent atoms are Mg at (0.000, 0.000, 0.000), In at (0.000, 0.000, 0.500), Hg at (0.250, 0.250, 0.750) and Pb at (0.250, 0.250, 0.250).


No. 15
First-principles (PBE) data for a geometry-optimized Mg3InHgPb structure, as listed in Alexandria.

The value obtained for the formation energy is -0.089 eV/atom. The total energy comes out at -48.3 eV/cell. The value obtained for the density is 6.77 g/cm3.

The space group is C2/m (No. 12) and the conventional cell measures 10.257, 7.000 and 8.148 Å, with angles of 90.00, 92.74 and 90.00 degrees. The inequivalent atoms are Mg at (0.128, 0.236, 0.157), Mg at (0.243, 0.500, 0.479), In at (0.000, 0.232, 0.500), Hg at (0.134, 0.000, 0.844) and Pb at (0.113, 0.500, 0.821).


No. 16
First-principles (PBE) data for a geometry-optimized Mg5In2Hg2Pb structure, as listed in Alexandria.

The value obtained for the formation energy is -0.059 eV/atom. The total energy comes out at -36.7 eV/cell. The value obtained for the density is 6.43 g/cm3.

The space group is P4/mbm (No. 127) and the conventional cell measures 11.218, 11.218 and 3.938 Å, with angles of 90.00, 90.00 and 90.00 degrees. The inequivalent atoms are Mg at (0.000, 0.500, 0.000), Mg at (0.034, 0.209, 0.000), In at (0.176, 0.676, 0.500), Hg at (0.132, 0.368, 0.500) and Pb at (0.000, 0.000, 0.500).


No. 17
First-principles (PBE) data for a geometry-optimized MgInHgPb structure, as listed in Alexandria.

The value obtained for the formation energy is -0.045 eV/atom. The value obtained for the energy relative to the lowest polymorph listed for this composition is 0 meV/atom. The total energy comes out at -8.5 eV/cell. The value obtained for the density is 8.75 g/cm3.

The space group is P4mm (No. 99) and the conventional cell measures 3.424, 3.424 and 8.857 Å, with angles of 90.00, 90.00 and 90.00 degrees. The inequivalent atoms are Mg at (0.000, 0.000, 0.000), In at (0.000, 0.000, 0.547), Hg at (0.500, 0.500, 0.797) and Pb at (0.500, 0.500, 0.253).


No. 18
First-principles (PBE) data for a geometry-optimized MgInHg6Pb structure, as listed in Alexandria.

The value obtained for the formation energy is 0.059 eV/atom. The total energy comes out at -37.3 eV/cell. The value obtained for the density is 9.66 g/cm3.

The space group is Imma (No. 74) and the conventional cell measures 7.905, 10.329 and 13.052 Å, with angles of 90.00, 90.00 and 90.00 degrees. The inequivalent atoms are Mg at (0.000, 0.000, 0.000), In at (0.250, 0.250, 0.250), Hg at (0.000, 0.250, 0.437), Hg at (0.000, 0.250, 0.910), Hg at (0.215, 0.007, 0.630) and Pb at (0.000, 0.250, 0.672).


No. 19
First-principles (PBE) data for a geometry-optimized MgIn2HgPd structure, as listed in Alexandria.

The value obtained for the formation energy is -0.181 eV/atom. The total energy comes out at -13.5 eV/cell. The value obtained for the density is 6.82 g/cm3.

The space group is P4/mmm (No. 123) and the conventional cell measures 5.174, 5.174 and 5.105 Å, with angles of 90.00, 90.00 and 90.00 degrees. The inequivalent atoms are Mg at (0.000, 0.000, 0.000), In at (0.000, 0.500, 0.500), Hg at (0.500, 0.500, 0.000) and Pd at (0.000, 0.000, 0.500).


No. 20
First-principles (PBE) data for a geometry-optimized Mg5In2Hg2Pd structure, as listed in Alexandria.

The value obtained for the formation energy is -0.218 eV/atom. The total energy comes out at -42.9 eV/cell. The value obtained for the density is 6.41 g/cm3.

The space group is P4/mbm (No. 127) and the conventional cell measures 11.837, 11.837 and 3.176 Å, with angles of 90.00, 90.00 and 90.00 degrees. The inequivalent atoms are Mg at (0.000, 0.500, 0.000), Mg at (0.023, 0.188, 0.000), In at (0.174, 0.674, 0.500), Hg at (0.143, 0.357, 0.500) and Pd at (0.000, 0.000, 0.500).